[1]
Entry from the Alexandria database: a crystal of MgCd3C relaxed with PBEsol (meta-GGA SCAN).

Unit cell a=4.6339 b=4.6339 c=4.6339 alpha=90.00 beta=90.00 gamma=90.00
Fractional coordinates of all 5 atoms:
Mg 0.5000 0.5000 0.5000
C 0.0000 0.0000 0.0000
Cd 0.0000 0.5000 0.0000
Cd 0.0000 0.0000 0.5000
Cd 0.5000 0.0000 0.0000

Computed properties:
- ΔE_f (eV/atom) = 0.793
- crystal system = cubic



[2]
Entry from the Alexandria database: a crystal of Zr6Al16Ru7 relaxed with PBEsol (meta-GGA SCAN).

Unit cell a=8.6558 b=8.6558 c=8.6558 alpha=60.00 beta=60.00 gamma=60.00
Fractional coordinates of all 29 atoms:
Al 0.8806 0.8806 0.8806
Al 0.3581 0.8806 0.8806
Al 0.8806 0.3581 0.8806
Al 0.8806 0.8806 0.3581
Al 0.6419 0.1194 0.1194
Al 0.1194 0.1194 0.1194
Al 0.1194 0.6419 0.1194
Al 0.1194 0.1194 0.6419
Al 0.6634 0.6634 0.6634
Al 0.0099 0.6634 0.6634
Al 0.6634 0.0099 0.6634
Al 0.6634 0.6634 0.0099
Al 0.9901 0.3366 0.3366
Al 0.3366 0.3366 0.3366
Al 0.3366 0.9901 0.3366
Al 0.3366 0.3366 0.9901
Ru 0.0000 0.0000 0.0000
Ru 0.0000 0.0000 0.5000
Ru 0.5000 0.5000 0.0000
Ru 0.0000 0.5000 0.0000
Ru 0.5000 0.0000 0.5000
Ru 0.5000 0.0000 0.0000
Ru 0.0000 0.5000 0.5000
Zr 0.7061 0.7061 0.2939
Zr 0.2939 0.2939 0.7061
Zr 0.7061 0.2939 0.7061
Zr 0.2939 0.7061 0.2939
Zr 0.2939 0.7061 0.7061
Zr 0.7061 0.2939 0.2939

Computed properties:
- ΔE_f (eV/atom) = -0.773
- crystal system = cubic



[3]
Entry from the Alexandria database: a crystal of SrTePdI2 relaxed with PBEsol (meta-GGA SCAN).

Unit cell a=6.1169 b=5.9945 c=5.9945 alpha=90.00 beta=90.00 gamma=90.00
Fractional coordinates of all 5 atoms:
I 0.0000 0.0000 0.5000
I 0.0000 0.5000 0.0000
Sr 0.5000 0.0000 0.0000
Te 0.0000 0.0000 0.0000
Pd 0.5000 0.5000 0.5000

Computed properties:
- crystal system = tetragonal
- E_form (uncorrected) (eV/f.u.) = 0.9



[4]
Entry from the Alexandria database: a crystal of Ta2Be2Ni relaxed with PBEsol (meta-GGA SCAN).

Unit cell a=3.5993 b=5.8176 c=5.8176 alpha=90.00 beta=90.00 gamma=90.00
Fractional coordinates of all 10 atoms:
Ni 0.0000 0.0000 0.0000
Ni 0.0000 0.5000 0.5000
Be 0.0000 0.3712 0.8712
Be 0.0000 0.8712 0.6288
Be 0.0000 0.6288 0.1288
Be 0.0000 0.1288 0.3712
Ta 0.5000 0.1737 0.6737
Ta 0.5000 0.6737 0.8263
Ta 0.5000 0.8263 0.3263
Ta 0.5000 0.3263 0.1737

Computed properties:
- ΔE_f (eV/atom) = -0.259
- crystal system = tetragonal



[5]
Entry from the Alexandria database: a crystal of Sr2YTlPd relaxed with PBEsol (meta-GGA SCAN).

Unit cell a=4.8202 b=6.3594 c=6.3594 alpha=90.00 beta=90.00 gamma=90.00
Fractional coordinates of all 5 atoms:
Y 0.0000 0.0000 0.0000
Sr 0.0000 0.0000 0.5000
Sr 0.0000 0.5000 0.0000
Tl 0.5000 0.5000 0.5000
Pd 0.5000 0.0000 0.0000

Computed properties:
- ΔE_f (eV/atom) = 0.424
- crystal system = tetragonal



[6]
Entry from the Alexandria database: a crystal of AgAu3 relaxed with PBEsol (meta-GGA SCAN).

Unit cell a=2.8507 b=4.7609 c=4.9546 alpha=90.00 beta=90.00 gamma=90.00
Fractional coordinates of all 4 atoms:
Au 0.0000 0.5000 0.3322
Au 0.5000 0.0000 0.5005
Au 0.5000 0.5000 0.8332
Ag 0.0000 0.0000 0.0004

Computed properties:
- ΔE_f (eV/atom) = -0.045
- distance to the lowest polymorph of the same formula (eV/atom) = 0.022
- crystal system = orthorhombic



[7]
Entry from the Alexandria database: a crystal of CdSi2Tc relaxed with PBEsol (meta-GGA SCAN).

Unit cell a=3.0523 b=4.8506 c=5.0805 alpha=117.77 beta=106.39 gamma=92.18
Fractional coordinates of all 4 atoms:
Cd 0.5000 0.5000 0.0000
Si 0.0000 0.0000 0.5000
Si 0.5000 0.5000 0.5000
Tc 0.0000 0.0000 0.0000

Computed properties:
- crystal system = monoclinic
- E_form (uncorrected) (eV/f.u.) = 1.9



[8]
Entry from the Alexandria database: a crystal of TiReP2 relaxed with PBEsol (meta-GGA SCAN).

Unit cell a=4.9098 b=4.9098 c=7.1404 alpha=110.11 beta=110.11 gamma=90.00
Fractional coordinates of all 8 atoms:
Re 0.2500 0.7500 0.5000
Re 0.0000 0.0000 0.0000
P 0.9040 0.3750 0.2500
P 0.3460 0.8750 0.2500
P 0.6250 0.6540 0.7500
P 0.1250 0.0960 0.7500
Ti 0.7500 0.2500 0.5000
Ti 0.5000 0.5000 0.0000

Computed properties:
- ΔE_f (eV/atom) = -0.088
- crystal system = tetragonal



[9]
Entry from the Alexandria database: a crystal of FeSi2Mo relaxed with PBEsol (meta-GGA SCAN).

Unit cell a=4.1576 b=4.1576 c=4.1576 alpha=60.00 beta=60.00 gamma=60.00
Fractional coordinates of all 4 atoms:
Fe 0.5000 0.5000 0.5000
Mo 0.2500 0.2500 0.2500
Si 0.0000 0.0000 0.0000
Si 0.7500 0.7500 0.7500

Computed properties:
- crystal system = cubic
- E_form (uncorrected) (eV/f.u.) = 0.8



[10]
Entry from the Alexandria database: a crystal of K2CoSe relaxed with PBEsol (meta-GGA SCAN).

Unit cell a=5.0709 b=5.0709 c=5.0746 alpha=119.98 beta=119.98 gamma=90.00
Fractional coordinates of all 4 atoms:
Co 0.2500 0.7500 0.5000
K 0.0000 0.0000 0.0000
K 0.7500 0.2500 0.5000
Se 0.5000 0.5000 0.0000

Computed properties:
- crystal system = cubic
- E_form (uncorrected) (eV/f.u.) = 0.7



[11]
Entry from the Alexandria database: a crystal of AlAs2Rh relaxed with PBEsol (meta-GGA SCAN).

Unit cell a=2.8302 b=4.6145 c=5.7326 alpha=113.73 beta=104.29 gamma=90.00
Fractional coordinates of all 4 atoms:
As 0.9740 0.9740 0.9481
As 0.7972 0.2972 0.5944
Rh 0.5097 0.5097 0.0195
Al 0.2190 0.7190 0.4380

Computed properties:
- ΔE_f (eV/atom) = -0.120
- crystal system = orthorhombic



[12]
Entry from the Alexandria database: a crystal of CaCrO3 relaxed with PBEsol (meta-GGA SCAN).

Unit cell a=5.2337 b=5.3062 c=7.4146 alpha=90.00 beta=90.00 gamma=90.00
Fractional coordinates of all 20 atoms:
Ca 0.4917 0.5413 0.2500
Ca 0.9917 0.9587 0.7500
Ca 0.0083 0.0413 0.2500
Ca 0.5083 0.4587 0.7500
Cr 0.0000 0.5000 0.0000
Cr 0.5000 0.0000 0.0000
Cr 0.5000 0.0000 0.5000
Cr 0.0000 0.5000 0.5000
O 0.4289 0.0132 0.7500
O 0.9289 0.4868 0.2500
O 0.0711 0.5132 0.7500
O 0.5711 0.9868 0.2500
O 0.2099 0.7894 0.4627
O 0.7099 0.7106 0.5373
O 0.2901 0.2894 0.0373
O 0.7901 0.2106 0.9627
O 0.2099 0.7894 0.0373
O 0.7099 0.7106 0.9627
O 0.7901 0.2106 0.5373
O 0.2901 0.2894 0.4627

Computed properties:
- crystal system = orthorhombic
- E_form (uncorrected) (eV/f.u.) = -13.7



[13]
Entry from the Alexandria database: a crystal of Mn4ReOs relaxed with PBEsol (meta-GGA SCAN).

Unit cell a=4.6066 b=4.6066 c=4.6066 alpha=60.00 beta=60.00 gamma=60.00
Fractional coordinates of all 6 atoms:
Mn 0.3759 0.3759 0.3759
Mn 0.3759 0.3759 0.8723
Mn 0.8723 0.3759 0.3759
Mn 0.3759 0.8723 0.3759
Os 0.7500 0.7500 0.7500
Re 0.0000 0.0000 0.0000

Computed properties:
- ΔE_f (eV/atom) = 0.025
- crystal system = cubic



[14]
Entry from the Alexandria database: a crystal of CrAgNF2 relaxed with PBEsol (meta-GGA SCAN).

Unit cell a=3.6515 b=3.9761 c=3.9761 alpha=90.00 beta=90.00 gamma=90.00
Fractional coordinates of all 5 atoms:
Cr 0.0000 0.0000 0.0000
N 0.5000 0.0000 0.0000
Ag 0.5000 0.5000 0.5000
F 0.0000 0.0000 0.5000
F 0.0000 0.5000 0.0000

Computed properties:
- crystal system = tetragonal
- E_form (uncorrected) (eV/f.u.) = -6.0



[15]
Entry from the Alexandria database: a crystal of Cd2CoSbF relaxed with PBEsol (meta-GGA SCAN).

Unit cell a=4.5057 b=4.5057 c=4.7906 alpha=90.00 beta=90.00 gamma=90.00
Fractional coordinates of all 5 atoms:
Sb 0.0000 0.0000 0.5000
F 0.0000 0.0000 0.0000
Co 0.5000 0.5000 0.5000
Cd 0.0000 0.5000 0.0000
Cd 0.5000 0.0000 0.0000

Computed properties:
- crystal system = tetragonal
- E_form (uncorrected) (eV/f.u.) = 0.4



[16]
Entry from the Alexandria database: a crystal of KBaPb2 relaxed with PBEsol (meta-GGA SCAN).

Unit cell a=4.7495 b=5.1965 c=6.9409 alpha=112.01 beta=90.00 gamma=90.00
Fractional coordinates of all 4 atoms:
Pb 0.0000 0.8010 0.9770
Pb 0.5000 0.9500 0.2749
K 0.5000 0.2344 0.8439
Ba 0.0000 0.5146 0.4042

Computed properties:
- ΔE_f (eV/atom) = -0.574
- distance to the lowest polymorph of the same formula (eV/atom) = 0.000
- crystal system = orthorhombic



[17]
Entry from the Alexandria database: a crystal of YRe2Mo relaxed with PBEsol (meta-GGA SCAN).

Unit cell a=2.7821 b=5.3008 c=5.3254 alpha=116.95 beta=100.16 gamma=99.81
Fractional coordinates of all 4 atoms:
Mo 0.5000 0.0000 0.0000
Re 0.0000 0.0000 0.5000
Re 0.5000 0.5000 0.5000
Y 0.0000 0.5000 0.0000

Computed properties:
- ΔE_f (eV/atom) = 0.339
- distance to the lowest polymorph of the same formula (eV/atom) = 0.044
- crystal system = monoclinic



[18]
Entry from the Alexandria database: a crystal of Pr2Sc3Si4 relaxed with PBEsol (meta-GGA SCAN).

Unit cell a=7.1733 b=7.4599 c=14.0867 alpha=90.00 beta=90.00 gamma=90.00
Fractional coordinates of all 36 atoms:
Pr 0.9889 0.8280 0.4028
Pr 0.4889 0.6720 0.4028
Pr 0.5111 0.3280 0.9028
Pr 0.5111 0.3280 0.5972
Pr 0.0111 0.1720 0.5972
Pr 0.0111 0.1720 0.9028
Pr 0.4889 0.6720 0.0972
Pr 0.9889 0.8280 0.0972
Sc 0.6701 0.8240 0.6251
Sc 0.3299 0.1760 0.3749
Sc 0.3374 0.0005 0.7500
Sc 0.8299 0.3240 0.3749
Sc 0.1701 0.6760 0.8749
Sc 0.1701 0.6760 0.6251
Sc 0.1626 0.5005 0.2500
Sc 0.6626 0.9995 0.2500
Sc 0.6701 0.8240 0.8749
Sc 0.8299 0.3240 0.1251
Sc 0.3299 0.1760 0.1251
Sc 0.8374 0.4995 0.7500
Si 0.7117 0.1173 0.7500
Si 0.5356 0.3754 0.2500
Si 0.9644 0.8754 0.7500
Si 0.4644 0.6246 0.7500
Si 0.8484 0.5371 0.5395
Si 0.0356 0.1246 0.2500
Si 0.2883 0.8827 0.2500
Si 0.1516 0.4629 0.0395
Si 0.6516 0.0371 0.0395
Si 0.8484 0.5371 0.9605
Si 0.3484 0.9629 0.5395
Si 0.6516 0.0371 0.4605
Si 0.1516 0.4629 0.4605
Si 0.2117 0.3827 0.7500
Si 0.7883 0.6173 0.2500
Si 0.3484 0.9629 0.9605

Computed properties:
- crystal system = orthorhombic
- E_form (uncorrected) (eV/f.u.) = -7.5



[19]
Entry from the Alexandria database: a crystal of Ba2CaGa2CuF14 relaxed with PBEsol (meta-GGA SCAN).

Unit cell a=5.3193 b=7.3693 c=14.6849 alpha=91.59 beta=90.00 gamma=111.16
Fractional coordinates of all 40 atoms:
Ba 0.3805 0.6193 0.8780
Ba 0.6195 0.3807 0.1220
Ba 0.7612 0.3807 0.6220
Ba 0.2388 0.6193 0.3780
Ca 0.0840 0.0000 0.7500
Ca 0.9160 0.0000 0.2500
Ga 0.4061 0.7583 0.6245
Ga 0.5939 0.2417 0.3755
Ga 0.6478 0.2417 0.8755
Ga 0.3522 0.7583 0.1245
Cu 0.0000 0.0000 0.5000
Cu 0.0000 0.0000 0.0000
F 0.1149 0.1086 0.1161
F 0.8851 0.8914 0.8839
F 0.0063 0.8914 0.3839
F 0.9937 0.1086 0.6161
F 0.3757 0.2743 0.9541
F 0.6243 0.7257 0.0459
F 0.1014 0.7257 0.5459
F 0.8986 0.2743 0.4541
F 0.6260 0.8290 0.5181
F 0.3740 0.1710 0.4819
F 0.7971 0.1710 0.9819
F 0.2029 0.8290 0.0181
F 0.6765 0.7568 0.7079
F 0.3235 0.2432 0.2921
F 0.9197 0.2432 0.7921
F 0.0803 0.7568 0.2079
F 0.4402 0.0147 0.6540
F 0.5598 0.9853 0.3460
F 0.4255 0.9853 0.8460
F 0.5745 0.0147 0.1540
F 0.4621 0.3167 0.7771
F 0.5379 0.6833 0.2229
F 0.1454 0.6833 0.7229
F 0.8546 0.3167 0.2771
F 0.3380 0.4951 0.5963
F 0.6620 0.5049 0.4037
F 0.8428 0.5049 0.9037
F 0.1572 0.4951 0.0963

Computed properties:
- crystal system = monoclinic
- E_form (uncorrected) (eV/f.u.) = -66.5



[20]
Entry from the Alexandria database: a crystal of HgBi2C relaxed with PBEsol (meta-GGA SCAN).

Unit cell a=4.9977 b=4.9977 c=4.9977 alpha=60.00 beta=60.00 gamma=60.00
Fractional coordinates of all 4 atoms:
C 0.0000 0.0000 0.0000
Bi 0.2500 0.2500 0.2500
Bi 0.7500 0.7500 0.7500
Hg 0.5000 0.5000 0.5000

Computed properties:
- ΔE_f (eV/atom) = 1.506
- crystal system = cubic



Values of energy, in order: -102.3, -574.4, -164.9, -318.7, -175.4, -239.0, -83.6, -216.6, -72.3, -53.3, -82.4, -241.7, -215.8, -72.1, -118.5, -201.7, -203.6, -707.7, -505.5, -229.4, all in eV for the cell shown.